DFT (PBE-GGA) results for crystalline Ti4NiP2 at its relaxed geometry.

The structure belongs to space group R-3m (No. 166, hexagonal axes); the cell edges are 3.6680, 3.6680 and 28.3362 Å and the angles 90.00°, 90.00° and 120.00°. The distinct sites, in fractional coordinates, are Ti at (0.0000, 0.0000, 0.1194), Ti at (0.0000, 0.0000, 0.2995), Ni at (0.0000, 0.0000, 0.5000) and P at (0.0000, 0.0000, 0.4083).

As for the formation energy: -0.65 eV per atom. The calculation puts the electronic total energy at -7.54 eV per atom.